CaAgHgRh: relaxed, PBE.

```
CaAgHgRh
1.0
-2.275 0.486 4.225
1.659 -2.285 3.909
2.053 2.509 3.570
Ca Ag Rh Hg
1 1 1 1
Direct
0.500 0.500 0.500
0.250 0.250 0.250
0.750 0.750 0.750
0.000 0.000 0.000
```

Energy relative to the elements = -0.167 eV/atom